# 1
12
Lattice="2.587 -2.614 0.000 2.587 2.614 0.000 0.000 0.000 11.994" Properties=species:S:1:pos:R:3 comment="PBE Mn2Ga2Cu7Pt, relaxed" sg="No. 65" m_tot_mub_per_fu=6.650 delta_e_f_mev_per_atom=14 pbc="T T T"
Mn 0.000 0.000 2.143
Mn 0.000 0.000 9.851
Ga 2.587 0.000 2.261
Ga 2.587 0.000 9.733
Cu 0.000 0.000 5.997
Cu 1.293 1.307 4.093
Cu 1.293 1.307 7.902
Cu 2.587 1.260 0.000
Cu 1.293 -1.307 4.093
Cu 1.293 -1.307 7.902
Cu 2.587 -1.260 0.000
Pt 2.587 0.000 5.997



# 2
5
Lattice="4.548 0.000 0.000 0.000 4.548 0.000 0.000 0.000 4.424" Properties=species:S:1:pos:R:3 comment="PBE MnGaCuRe2, relaxed" sg="No. 123" m_tot_mub_per_fu=2.790 delta_e_f_mev_per_atom=1800 pbc="T T T"
Mn 0.000 0.000 0.000
Ga 0.000 0.000 2.212
Cu 2.274 2.274 0.000
Re 0.000 2.274 2.212
Re 2.274 0.000 2.212



# 3
5
Lattice="4.807 0.000 0.000 0.000 4.807 0.000 0.000 0.000 4.673" Properties=species:S:1:pos:R:3 comment="PBE Mn2GaCuRh, relaxed" sg="No. 123" m_tot_mub_per_fu=9.052 delta_e_f_mev_per_atom=725 pbc="T T T"
Mn 0.000 2.403 0.000
Mn 2.403 0.000 0.000
Ga 0.000 0.000 2.336
Cu 2.403 2.403 2.336
Rh 0.000 0.000 0.000



# 4
5
Lattice="4.508 0.000 0.000 0.000 4.508 0.000 0.000 0.000 4.727" Properties=species:S:1:pos:R:3 comment="PBE MnGaCu2Sb, relaxed" e_form_raw_mev_per_atom=528 sg="No. 123" m_tot_mub_per_fu=3.438 pbc="T T T"
Mn 0.000 0.000 0.000
Ga 0.000 0.000 2.363
Cu 0.000 2.254 2.363
Cu 2.254 0.000 2.363
Sb 2.254 2.254 0.000



# 5
20
Lattice="9.087 0.000 0.000 0.000 9.087 0.000 0.000 0.000 3.936" Properties=species:S:1:pos:R:3 comment="PBE Sc2Mn2Ga5Cu, relaxed" sg="No. 127" m_tot_mub_per_fu=4.949 delta_e_f_mev_per_atom=-221 pbc="T T T"
Sc 1.657 2.886 0.000
Sc 2.886 7.429 0.000
Sc 6.201 1.657 0.000
Sc 7.429 6.201 0.000
Mn 1.052 5.595 0.000
Mn 3.492 1.052 0.000
Mn 5.595 8.035 0.000
Mn 8.035 3.492 0.000
Ga 0.000 4.543 1.968
Ga 0.552 7.250 1.968
Ga 1.837 0.552 1.968
Ga 2.706 5.095 1.968
Ga 3.992 2.706 1.968
Ga 4.543 0.000 1.968
Ga 5.095 6.380 1.968
Ga 6.380 3.992 1.968
Ga 7.250 8.535 1.968
Ga 8.535 1.837 1.968
Cu 0.000 0.000 0.000
Cu 4.543 4.543 0.000



# 6
16
Lattice="5.666 0.000 0.000 0.000 5.666 0.000 0.000 0.000 11.219" Properties=species:S:1:pos:R:3 comment="PBE MnGaCu2Se4, relaxed" e_form_raw_mev_per_atom=-402 sg="No. 121" m_tot_mub_per_fu=3.978 pbc="T T T"
Mn 0.000 0.000 0.000
Mn 2.833 2.833 5.610
Ga 0.000 0.000 5.610
Ga 2.833 2.833 0.000
Cu 0.000 2.833 2.805
Cu 0.000 2.833 8.414
Cu 2.833 0.000 2.805
Cu 2.833 0.000 8.414
Se 1.407 1.407 7.057
Se 1.407 4.259 4.162
Se 1.426 1.426 1.448
Se 1.426 4.240 9.771
Se 4.240 1.426 9.771
Se 4.240 4.240 1.448
Se 4.259 1.407 4.162
Se 4.259 4.259 7.057



# 7
16
Lattice="5.625 0.000 0.000 0.000 5.625 0.000 0.000 0.000 11.375" Properties=species:S:1:pos:R:3 comment="PBE MnGaCu2Se4, relaxed" e_form_raw_mev_per_atom=-404 sg="No. 82" m_tot_mub_per_fu=3.995 pbc="T T T"
Mn 0.000 0.000 0.000
Mn 2.812 2.812 5.687
Ga 0.000 2.812 2.844
Ga 2.812 0.000 8.531
Cu 0.000 0.000 5.687
Cu 0.000 2.812 8.531
Cu 2.812 0.000 2.844
Cu 2.812 2.812 0.000
Se 1.366 4.226 7.115
Se 1.399 1.366 4.260
Se 1.413 1.446 9.948
Se 1.446 4.211 1.427
Se 4.178 1.413 1.427
Se 4.211 4.178 9.948
Se 4.226 4.259 4.260
Se 4.259 1.399 7.115



# 8
5
Lattice="4.470 0.000 0.000 0.000 4.470 0.000 0.000 0.000 4.294" Properties=species:S:1:pos:R:3 comment="PBE TaMn2GaCu, relaxed" sg="No. 123" m_tot_mub_per_fu=6.117 delta_e_f_mev_per_atom=877 pbc="T T T"
Ta 0.000 0.000 0.000
Mn 0.000 2.235 2.147
Mn 2.235 0.000 2.147
Ga 2.235 2.235 0.000
Cu 2.235 2.235 2.147



# 9
16
Lattice="6.095 0.000 0.000 0.000 6.095 0.000 0.000 0.000 6.095" Properties=species:S:1:pos:R:3 comment="PBE TiMnGaCu, relaxed" sg="No. 216" m_tot_mub_per_fu=2.766 delta_e_f_mev_per_atom=-160 pbc="T T T"
Ti 0.000 0.000 0.000
Ti 0.000 3.048 3.048
Ti 3.048 0.000 3.048
Ti 3.048 3.048 0.000
Mn 0.000 0.000 3.048
Mn 0.000 3.048 0.000
Mn 3.048 0.000 0.000
Mn 3.048 3.048 3.048
Ga 1.524 1.524 1.524
Ga 1.524 4.571 4.571
Ga 4.571 1.524 4.571
Ga 4.571 4.571 1.524
Cu 1.524 1.524 4.571
Cu 1.524 4.571 1.524
Cu 4.571 1.524 1.524
Cu 4.571 4.571 4.571



# 10
16
Lattice="5.926 0.000 0.000 0.000 5.926 0.000 0.000 0.000 5.926" Properties=species:S:1:pos:R:3 comment="PBE MnVGaCu, relaxed" sg="No. 216" m_tot_mub_per_fu=0.507 delta_e_f_mev_per_atom=-16 pbc="T T T"
Mn 0.000 0.000 0.000
Mn 0.000 2.963 2.963
Mn 2.963 0.000 2.963
Mn 2.963 2.963 0.000
V 1.482 1.482 1.482
V 1.482 4.445 4.445
V 4.445 1.482 4.445
V 4.445 4.445 1.482
Ga 1.482 1.482 4.445
Ga 1.482 4.445 1.482
Ga 4.445 1.482 1.482
Ga 4.445 4.445 4.445
Cu 0.000 0.000 2.963
Cu 0.000 2.963 0.000
Cu 2.963 0.000 0.000
Cu 2.963 2.963 2.963



# 11
18
Lattice="2.695 1.556 11.452 -2.695 1.556 11.452 0.000 -3.112 11.452" Properties=species:S:1:pos:R:3 comment="PBE Y2MnGa3Cu12, relaxed" sg="No. 166" m_tot_mub_per_fu=3.470 delta_e_f_mev_per_atom=89 pbc="T T T"
Y 0.000 0.000 4.906
Y 0.000 0.000 29.449
Mn 0.000 0.000 17.178
Ga -1.348 -0.778 11.452
Ga -1.348 0.778 22.904
Ga 0.000 1.556 11.452
Cu 0.000 -1.668 9.519
Cu -1.444 0.834 9.519
Cu -1.352 -0.780 15.247
Cu -1.444 -0.834 24.837
Cu 0.000 -1.561 19.109
Cu -1.352 0.780 19.109
Cu 1.352 -0.780 15.247
Cu 0.000 1.561 15.247
Cu 1.444 0.834 9.519
Cu 1.352 0.780 19.109
Cu 1.444 -0.834 24.837
Cu 0.000 1.668 24.837



# 12
10
Lattice="3.565 0.000 0.000 0.000 3.565 0.000 0.000 0.000 12.833" Properties=species:S:1:pos:R:3 comment="PBE Ga2CuMo2, relaxed" sg="No. 139" polymorph_energy_mev_per_atom=299 m_tot_mub_per_fu=0.000 delta_e_f_mev_per_atom=466 pbc="T T T"
Ga 0.000 1.782 3.208
Ga 0.000 1.782 9.625
Ga 1.782 0.000 3.208
Ga 1.782 0.000 9.625
Cu 0.000 0.000 0.000
Cu 1.782 1.782 6.417
Mo 0.000 0.000 5.239
Mo 0.000 0.000 7.594
Mo 1.782 1.782 1.178
Mo 1.782 1.782 11.656



no.,D(E_F) (states/eV/atom)
1,0.4470
2,1.0067
3,0.5382
4,0.3893
5,0.6140
6,0.3422
7,0.3516
8,0.8366
9,0.4184
10,0.8876
11,0.5417
12,0.6699